P:
# NbFeBiPd

An optimized crystal structure of NbFeBiPd (GGA-PBE, OQMD).

a = 4.593 Å, b = 4.593 Å, c = 4.593 Å
α = 60.00°, β = 60.00°, γ = 60.00°
Sites, in units of the cell vectors:
Bi 0.000 0.000 0.000
Fe 0.750 0.750 0.750
Nb 0.500 0.500 0.500
Pd 0.250 0.250 0.250

## Properties
* crystal system: cubic
* symmetry: F-43m, No. 216
* spin magnetization: 0.97 μB per formula unit

---

Q:
# NbFeBiPd

An optimized crystal structure of NbFeBiPd (GGA-PBE, OQMD).

a = 4.590 Å, b = 4.590 Å, c = 4.590 Å
α = 60.00°, β = 60.00°, γ = 60.00°
Sites, in units of the cell vectors:
Bi 0.000 0.000 0.000
Fe 0.750 0.750 0.750
Nb 0.250 0.250 0.250
Pd 0.500 0.500 0.500

## Properties
* crystal system: cubic
* symmetry: F-43m, No. 216
* spin magnetization: 1.85 μB per formula unit

---

Preferred: P; penalty for the next structure: 35 meV/atom.

---

P:
# TaFeNiBi

An optimized crystal structure of TaFeNiBi (GGA-PBE, OQMD).

a = 4.447 Å, b = 4.447 Å, c = 4.447 Å
α = 60.00°, β = 60.00°, γ = 60.00°
Sites, in units of the cell vectors:
Bi 0.000 0.000 0.000
Fe 0.750 0.750 0.750
Ni 0.250 0.250 0.250
Ta 0.500 0.500 0.500

## Properties
* crystal system: cubic
* symmetry: F-43m, No. 216
* spin magnetization: 0.32 μB per formula unit

---

Q:
# TaFeNiBi

An optimized crystal structure of TaFeNiBi (GGA-PBE, OQMD).

a = 4.563 Å, b = 4.563 Å, c = 4.563 Å
α = 60.00°, β = 60.00°, γ = 60.00°
Sites, in units of the cell vectors:
Bi 0.000 0.000 0.000
Fe 0.500 0.500 0.500
Ni 0.750 0.750 0.750
Ta 0.250 0.250 0.250

## Properties
* crystal system: cubic
* symmetry: F-43m, No. 216
* spin magnetization: 1.95 μB per formula unit

---

Preferred: P; penalty for the next structure: 192 meV/atom.

---

P:
# ZnFeNiBi

An optimized crystal structure of ZnFeNiBi (GGA-PBE, OQMD).

a = 4.393 Å, b = 4.393 Å, c = 4.393 Å
α = 60.00°, β = 60.00°, γ = 60.00°
Sites, in units of the cell vectors:
Bi 0.000 0.000 0.000
Fe 0.750 0.750 0.750
Ni 0.250 0.250 0.250
Zn 0.500 0.500 0.500

## Properties
* crystal system: cubic
* symmetry: F-43m, No. 216
* spin magnetization: 1.97 μB per formula unit

---

Q:
# ZnFeNiBi

An optimized crystal structure of ZnFeNiBi (GGA-PBE, OQMD).

a = 4.484 Å, b = 4.484 Å, c = 4.484 Å
α = 60.00°, β = 60.00°, γ = 60.00°
Sites, in units of the cell vectors:
Bi 0.250 0.250 0.250
Fe 0.750 0.750 0.750
Ni 0.000 0.000 0.000
Zn 0.500 0.500 0.500

## Properties
* crystal system: cubic
* symmetry: F-43m, No. 216
* spin magnetization: 2.57 μB per formula unit

---

Preferred: P; penalty for the next structure: 167 meV/atom.